[1]
InTcSe2Br, PBEsol geometry, DFT meta-GGA SCAN; symmetry = P4/mmm; DOS at the Fermi energy = 3.17 states/eV per cell
1.0
4.769 0.000 0.000
0.000 4.769 0.000
0.000 0.000 5.370
Se Tc Br In
2 1 1 1
direct
0.000 0.500 0.000
0.500 0.000 0.000
0.000 0.000 0.000
0.000 0.000 0.500
0.500 0.500 0.500

=====

[2]
InWSeBr2, PBEsol geometry, DFT meta-GGA SCAN; symmetry = P4/mmm; DOS at the Fermi energy = 3.62 states/eV per cell
1.0
5.178 0.000 0.000
0.000 5.178 0.000
0.000 0.000 5.383
Se Br W In
1 2 1 1
direct
0.000 0.000 0.500
0.000 0.500 0.000
0.500 0.000 0.000
0.500 0.500 0.500
0.000 0.000 0.000

=====

[3]
ZrInSe2Br, PBEsol geometry, DFT meta-GGA SCAN; symmetry = P4/mmm; DOS at the Fermi energy = 3.27 states/eV per cell
1.0
5.103 0.000 0.000
0.000 5.161 0.000
0.000 0.000 5.161
Se Br Zr In
2 1 1 1
direct
0.000 0.000 0.500
0.000 0.500 0.000
0.500 0.000 0.000
0.500 0.500 0.500
0.000 0.000 0.000

=====

[4]
InSiBr2, PBEsol geometry, DFT meta-GGA SCAN; symmetry = Fm-3m; offset from the most stable computed form = 318 meV/atom; DOS at the Fermi energy = 1.48 states/eV per cell
1.0
-2.054 3.986 2.499
-4.951 -0.094 1.352
-1.302 -0.465 4.943
Br In Si
2 1 1
direct
0.250 0.250 0.250
0.750 0.750 0.750
0.500 0.500 0.500
0.000 0.000 0.000

=====

[5]
InSiBr, PBEsol geometry, DFT meta-GGA SCAN; symmetry = P-6m2; DOS at the Fermi energy = 1.36 states/eV per cell
1.0
-0.159 -3.866 2.280
0.709 -0.036 -4.435
4.449 0.235 0.709
Si Br In
1 1 1
direct
0.667 0.333 0.000
0.000 0.000 0.500
0.333 0.667 0.000

=====

[6]
InSiBr2, PBEsol geometry, DFT meta-GGA SCAN; symmetry = Imm2; offset from the most stable computed form = 60 meV/atom; DOS at the Fermi energy = 0.67 states/eV per cell
1.0
3.586 0.000 0.000
0.000 4.219 0.000
-1.793 -2.109 7.085
Br In Si
2 1 1
direct
0.970 0.970 0.940
0.748 0.248 0.496
0.561 0.561 0.122
0.221 0.721 0.441

=====

[7]
InSiBr2, PBEsol geometry, DFT meta-GGA SCAN; symmetry = Immm; offset from the most stable computed form = 0 meV/atom; DOS at the Fermi energy = 1.89 states/eV per cell
1.0
-3.604 0.190 -0.726
-0.026 -4.798 -1.127
0.551 0.923 6.839
Br In Si
2 1 1
direct
0.663 0.663 0.326
0.337 0.337 0.674
0.500 0.000 0.000
0.000 0.500 0.000

=====

[8]
InSiBr, PBEsol geometry, DFT meta-GGA SCAN; symmetry = P3m1; DOS at the Fermi energy = 1.23 states/eV per cell
1.0
-3.211 -1.043 0.059
2.189 -1.395 -2.161
1.636 -4.767 4.734
Si Br In
1 1 1
direct
0.667 0.333 0.322
0.000 0.000 0.043
0.333 0.667 0.636

=====

Number 1: formation energy (no corrections) -2 meV per atom. Number 2: formation energy (no corrections) 1040 meV per atom. Number 3: formation energy (no corrections) 72 meV per atom. Number 4: formation energy (no corrections) 257 meV per atom. Number 5: formation energy (no corrections) 228 meV per atom. Number 6: formation energy (no corrections) -2 meV per atom. Number 7: formation energy (no corrections) -61 meV per atom. Number 8: formation energy (no corrections) 357 meV per atom.